First-principles (GGA-PBE) data for an optimized crystal structure of YHoAl, as listed in Alexandria via LeMat-Bulk. Values from VASP.

Structure (Quantum ESPRESSO input):
```
&SYSTEM
  ibrav = 0, nat = 3, ntyp = 3
/
ATOMIC_SPECIES
Al 26.98 Al.upf
Y 88.91 Y.upf
Ho 164.93 Ho.upf
ATOMIC_POSITIONS angstrom
Al 1.721 1.721 6.045
Y 0.000 0.000 4.043
Ho 1.721 1.721 1.316
CELL_PARAMETERS angstrom
3.443 0.000 0.000
0.000 3.443 0.000
-1.721 -1.721 6.708
```

Calculated values
energy relative to the elements = -0.2647 eV/atom
space-group type = No. 107

=====

First-principles (GGA-PBE) data for an optimized crystal structure of NiIrOs, as listed in Alexandria via LeMat-Bulk. Values from VASP.

Structure (Quantum ESPRESSO input):
```
&SYSTEM
  ibrav = 0, nat = 3, ntyp = 3
/
ATOMIC_SPECIES
Ni 58.69 Ni.upf
Ir 192.22 Ir.upf
Os 190.23 Os.upf
ATOMIC_POSITIONS angstrom
Ni 0.889 -2.609 4.387
Ir -0.030 -10.070 9.172
Os 0.420 -6.414 6.828
CELL_PARAMETERS angstrom
-0.694 -4.377 5.520
0.659 -5.727 3.675
1.347 1.116 1.999
```

Calculated values
energy relative to the elements = 0.4063 eV/atom
space-group type = No. 42

=====

First-principles (GGA-PBE) data for an optimized crystal structure of LaHoPb2, as listed in Alexandria via LeMat-Bulk. Values from VASP.

Structure (Quantum ESPRESSO input):
```
&SYSTEM
  ibrav = 0, nat = 4, ntyp = 3
/
ATOMIC_SPECIES
Ho 164.93 Ho.upf
Pb 207.20 Pb.upf
La 138.91 La.upf
ATOMIC_POSITIONS angstrom
Ho 0.377 -3.038 5.001
Pb -0.018 -4.263 1.669
Pb 2.778 -0.828 5.225
La 2.378 -2.035 1.843
CELL_PARAMETERS angstrom
-0.358 -4.350 -1.615
4.504 -0.200 -0.461
0.655 0.063 6.375
```

Calculated values
energy relative to the elements = -0.5090 eV/atom
space-group type = No. 6

=====

First-principles (GGA-PBE) data for an optimized crystal structure of Ce2PuPt, as listed in Alexandria via LeMat-Bulk. Values from VASP.

Structure (Quantum ESPRESSO input):
```
&SYSTEM
  ibrav = 0, nat = 4, ntyp = 3
/
ATOMIC_SPECIES
Ce 140.12 Ce.upf
Pu 244.00 Pu.upf
Pt 195.08 Pt.upf
ATOMIC_POSITIONS angstrom
Ce 6.055 -3.028 6.061
Ce 2.451 -0.913 2.118
Pu 0.000 0.000 0.000
Pt 4.253 -1.970 4.089
CELL_PARAMETERS angstrom
-0.596 -0.904 3.546
0.522 -3.490 1.137
8.580 0.453 3.496
```

Calculated values
energy relative to the elements = -0.3080 eV/atom
space-group type = No. 166